(1)
TmHgRh | PBE-GGA | optimized geometry

Summary:
The calculation puts the energy of formation at -43 kJ/mol of atoms. The space group is No. 156.

Lattice parameters (Å, degrees): 4.684 4.684 3.293 90.00 90.00 120.00
Positions (direct):
1 Tm 0.000 0.000 0.000
2 Hg 0.333 0.667 0.500
3 Rh 0.667 0.333 0.498

(2)
LaNd7Tl2 | PBE-GGA | optimized geometry

Summary:
The calculation puts the energy of formation at 31 kJ/mol of atoms. The space group is No. 65.

Lattice parameters (Å, degrees): 9.242 9.242 5.572 90.00 90.00 119.05
Positions (direct):
1 La 0.000 0.000 0.000
2 Nd 0.060 0.302 0.500
3 Nd 0.229 0.771 0.000
4 Nd 0.302 0.060 0.500
5 Nd 0.500 0.500 0.500
6 Nd 0.698 0.940 0.500
7 Nd 0.771 0.229 0.000
8 Nd 0.940 0.698 0.500
9 Tl 0.305 0.695 0.500
10 Tl 0.695 0.305 0.500

(3)
Zn4TcTe | PBE-GGA | optimized geometry

Summary:
The space group is No. 216. Its energy relative to the elements, uncorrected is 0.232 eV/atom.

Lattice parameters (Å, degrees): 5.124 5.124 5.124 60.00 60.00 60.00
Positions (direct):
1 Zn 0.377 0.377 0.377
2 Zn 0.377 0.377 0.870
3 Zn 0.377 0.870 0.377
4 Zn 0.870 0.377 0.377
5 Tc 0.750 0.750 0.750
6 Te 0.000 0.000 0.000

(4)
SmDy4Ho8 | PBE-GGA | optimized geometry

Summary:
The calculation puts the energy of formation at 20 kJ/mol of atoms. The space group is No. 166.

Lattice parameters (Å, degrees): 9.922 9.922 9.922 42.96 42.96 42.96
Positions (direct):
1 Sm 0.000 0.000 0.000
2 Dy 0.000 0.000 0.500
3 Dy 0.000 0.500 0.000
4 Dy 0.500 0.000 0.000
5 Dy 0.500 0.500 0.500
6 Ho 0.250 0.250 0.694
7 Ho 0.250 0.694 0.250
8 Ho 0.282 0.282 0.282
9 Ho 0.306 0.750 0.750
10 Ho 0.694 0.250 0.250
11 Ho 0.718 0.718 0.718
12 Ho 0.750 0.306 0.750
13 Ho 0.750 0.750 0.306

(5)
PmCuSnRh | PBE-GGA | optimized geometry

Summary:
The calculation puts the energy of formation at -46 kJ/mol of atoms. The space group is No. 216.

Lattice parameters (Å, degrees): 4.794 4.794 4.794 60.00 60.00 60.00
Positions (direct):
1 Pm 0.000 0.000 0.000
2 Cu 0.750 0.750 0.750
3 Sn 0.500 0.500 0.500
4 Rh 0.250 0.250 0.250

(6)
LiGa2PdPb | PBE-GGA | optimized geometry

Summary:
The calculation puts the energy of formation at -16 kJ/mol of atoms. The space group is No. 123.

Lattice parameters (Å, degrees): 4.822 4.822 4.823 90.00 90.00 90.00
Positions (direct):
1 Li 0.000 0.000 0.000
2 Ga 0.000 0.500 0.500
3 Ga 0.500 0.000 0.500
4 Pd 0.000 0.000 0.500
5 Pb 0.500 0.500 0.000

For each record above, in turn, the calculated final energy values are -13.45; -39.86; -17.21; -57.07; -22.09; -17.72 eV/cell.